Material: Pm2CuBr
Method: DFT, GGA-PBE
State: relaxed

Calculated values
Mass density   7.208 g/cm3
V   100 Å³ per cell
Polymorph energy (0 for the lowest one)   91.0 meV per atom
M_tot   0.0 μB per formula unit
Raw formation energy   -0.55 eV/atom
DOS at the Fermi energy   3.91 states/eV/f.u.

The structure in CIF format:
```
data_Pm2CuBr
_cell_length_a 3.4752
_cell_length_b 3.4752
_cell_length_c 8.2681
_cell_angle_alpha 90.00
_cell_angle_beta 90.00
_cell_angle_gamma 90.00
_symmetry_space_group_name_H-M 'P 4/m m m'
_symmetry_Int_Tables_number 123
_symmetry_space_group_name_Hall '-P 4 2'
loop_
_atom_site_label
_atom_site_type_symbol
_atom_site_fract_x
_atom_site_fract_y
_atom_site_fract_z
_atom_site_occupancy
Pm1 Pm 0.0000 0.0000 0.2195 1
Cu1 Cu 0.5000 0.5000 0.0000 1
Br1 Br 0.5000 0.5000 0.5000 1
```

---

Material: PmCu2Br8
Method: DFT, GGA-PBE
State: relaxed

Calculated values
Mass density   4.675 g/cm3
V   647 Å³ per cell
M_tot   0.0 μB per formula unit
Raw formation energy   -0.74 eV/atom
DOS at the Fermi energy   5.02 states/eV/f.u.

The structure in CIF format:
```
data_PmCu2Br8
_cell_length_a 7.2249
_cell_length_b 7.2249
_cell_length_c 12.4024
_cell_angle_alpha 90.00
_cell_angle_beta 90.00
_cell_angle_gamma 90.00
_symmetry_space_group_name_H-M 'I 4 2 2'
_symmetry_Int_Tables_number 97
_symmetry_space_group_name_Hall 'I 4 2'
loop_
_atom_site_label
_atom_site_type_symbol
_atom_site_fract_x
_atom_site_fract_y
_atom_site_fract_z
_atom_site_occupancy
Pm1 Pm 0.0000 0.0000 0.0000 1
Cu1 Cu 0.0000 0.5000 0.2500 1
Br1 Br 0.1711 0.3241 0.8832 1
```

---

Material: PmCuBr4
Method: DFT, GGA-PBE
State: relaxed

Calculated values
Mass density   4.684 g/cm3
V   749 Å³ per cell
Polymorph energy (0 for the lowest one)   0.0 meV per atom
M_tot   0.0 μB per formula unit
Raw formation energy   -1.27 eV/atom
DOS at the Fermi energy   0.00 states/eV/f.u.

The structure in CIF format:
```
data_PmCuBr4
_cell_length_a 13.0262
_cell_length_b 8.7618
_cell_length_c 9.2427
_cell_angle_alpha 90.00
_cell_angle_beta 134.76
_cell_angle_gamma 90.00
_symmetry_space_group_name_H-M 'C 1 2/c 1'
_symmetry_Int_Tables_number 15
loop_
_symmetry_equiv_pos_as_xyz
'x,y,z'
'-x,-y,-z'
'-x,y,-z+1/2'
'x,-y,z+1/2'
'x+1/2,y+1/2,z'
'-x+1/2,-y+1/2,-z'
'-x+1/2,y+1/2,-z+1/2'
'x+1/2,-y+1/2,z+1/2'
loop_
_atom_site_label
_atom_site_type_symbol
_atom_site_fract_x
_atom_site_fract_y
_atom_site_fract_z
_atom_site_occupancy
Pm1 Pm 0.0000 0.1251 0.2500 1
Cu1 Cu 0.0000 0.3752 0.7500 1
Br1 Br 0.0058 0.1776 0.9407 1
Br2 Br 0.1849 0.4275 0.4389 1
```

---

Material: PmCuBr6
Method: DFT, GGA-PBE
State: relaxed

Calculated values
Mass density   3.831 g/cm3
V   298 Å³ per cell
M_tot   0.0 μB per formula unit
Raw formation energy   -0.92 eV/atom

The structure in CIF format:
```
data_PmCuBr6
_cell_length_a 5.7647
_cell_length_b 7.1857
_cell_length_c 7.8408
_cell_angle_alpha 72.12
_cell_angle_beta 74.77
_cell_angle_gamma 86.38
_symmetry_space_group_name_H-M 'P -1'
_symmetry_Int_Tables_number 2
loop_
_symmetry_equiv_pos_as_xyz
'x,y,z'
'-x,-y,-z'
loop_
_atom_site_label
_atom_site_type_symbol
_atom_site_fract_x
_atom_site_fract_y
_atom_site_fract_z
_atom_site_occupancy
Pm1 Pm 0.0000 0.0000 0.0000 1
Cu1 Cu 0.5000 0.5000 0.0000 1
Br1 Br 0.0230 0.8134 0.3644 1
Br2 Br 0.2701 0.3773 0.8392 1
Br3 Br 0.4382 0.8211 0.8235 1
```